First-principles (PBE-GGA) data for an optimized crystal structure of Ag4O3, as listed in the Alexandria database.

Results
DOS at the Fermi energy ... 5.8 states/eV/cell
Total moment ... 0.0 μB/cell
Calculated density ... 8.2 g/cm³
Uncorrected formation energy ... 49 kJ/mol of formula units

POSCAR file:
```
Ag4O3
1.0
1.616 0.933 10.711
-1.616 0.933 10.711
0.000 -1.866 10.711
Ag O
4 3
direct
0.123 0.123 0.123 Ag
0.367 0.367 0.367 Ag
0.633 0.633 0.633 Ag
0.877 0.877 0.877 Ag
0.251 0.251 0.251 O
0.500 0.500 0.500 O
0.749 0.749 0.749 O
```